Entry 1:
First-principles (PBE-GGA) data for a relaxed Be2ZnCl crystal, as listed in the Alexandria database.

The structure in CIF format:
```
data_Be2ZnCl
_chemical_formula_sum 'Be2 Zn1 Cl1'
_cell_length_a 5.087
_cell_length_b 5.202
_cell_length_c 3.113
_cell_angle_alpha 63.95
_cell_angle_beta 106.64
_cell_angle_gamma 125.07
_space_group_name_H-M_alt 'P 1'
_space_group_IT_number 1
loop_
_space_group_symop_operation_xyz
'x,y,z'
loop_
_atom_site_label
_atom_site_fract_x
_atom_site_fract_y
_atom_site_fract_z
Be1 0.500 0.000 0.500
Be2 0.000 0.000 0.000
Cl1 0.000 0.500 0.500
Zn1 0.500 0.500 0.000
```

The value obtained for the density of states at the Fermi level is 0.192 states/eV/atom. The symmetry is C2/m. Its final energy is -2.152 eV per atom. Its energy above the most stable polymorph in this dataset is 171.3 kJ/mol of formula units. The value obtained for the formation energy (no corrections) is 0.491 eV/atom.

=====

Entry 2:
First-principles (PBE-GGA) data for a relaxed CsNdWN3 crystal, as listed in the Alexandria database.

The structure in CIF format:
```
data_CsNdWN3
_chemical_formula_sum 'Cs2 Nd2 W2 N6'
_cell_length_a 3.960
_cell_length_b 7.268
_cell_length_c 8.804
_cell_angle_alpha 103.84
_cell_angle_beta 90.00
_cell_angle_gamma 105.81
_space_group_name_H-M_alt 'P 1'
_space_group_IT_number 1
loop_
_space_group_symop_operation_xyz
'x,y,z'
loop_
_atom_site_label
_atom_site_fract_x
_atom_site_fract_y
_atom_site_fract_z
N1 0.843 0.686 0.628
N2 0.873 0.746 0.236
W1 0.010 0.021 0.342
Cs1 0.358 0.716 0.933
Nd1 0.663 0.326 0.588
N3 0.486 0.971 0.641
N4 0.514 0.029 0.359
Nd2 0.337 0.674 0.412
W2 0.990 0.979 0.658
Cs2 0.642 0.284 0.067
N5 0.157 0.314 0.372
N6 0.127 0.254 0.764
```

The symmetry is C2/m. Its final energy is -7.790 eV per atom. The value obtained for the formation energy (no corrections) is -0.531 eV/atom.

=====

Entry 3:
First-principles (PBE-GGA) data for a relaxed TbTePd4 crystal, as listed in the Alexandria database.

The structure in CIF format:
```
data_TbTePd4
_chemical_formula_sum 'Tb1 Te1 Pd4'
_cell_length_a 5.434
_cell_length_b 5.434
_cell_length_c 5.434
_cell_angle_alpha 60.00
_cell_angle_beta 60.00
_cell_angle_gamma 60.00
_space_group_name_H-M_alt 'P 1'
_space_group_IT_number 1
loop_
_space_group_symop_operation_xyz
'x,y,z'
loop_
_atom_site_label
_atom_site_fract_x
_atom_site_fract_y
_atom_site_fract_z
Pd1 0.624 0.127 0.624
Tb1 0.250 0.250 0.250
Te1 0.000 0.000 0.000
Pd2 0.624 0.624 0.127
Pd3 0.127 0.624 0.624
Pd4 0.624 0.624 0.624
```

The value obtained for the density of states at the Fermi level is 1.018 states/eV/atom. The symmetry is F-43m. Its final energy is -5.290 eV per atom. The value obtained for the formation energy (no corrections) is -0.533 eV/atom.

=====

Entry 4:
First-principles (PBE-GGA) data for a relaxed HfBeV2 crystal, as listed in the Alexandria database.

The structure in CIF format:
```
data_HfBeV2
_chemical_formula_sum 'Hf1 Be1 V2'
_cell_length_a 2.915
_cell_length_b 2.915
_cell_length_c 8.348
_cell_angle_alpha 79.95
_cell_angle_beta 79.95
_cell_angle_gamma 60.00
_space_group_name_H-M_alt 'P 1'
_space_group_IT_number 1
loop_
_space_group_symop_operation_xyz
'x,y,z'
loop_
_atom_site_label
_atom_site_fract_x
_atom_site_fract_y
_atom_site_fract_z
V1 0.737 0.737 0.788
Hf1 0.500 0.500 0.500
Be1 0.000 0.000 0.000
V2 0.263 0.263 0.212
```

The value obtained for the density of states at the Fermi level is 1.549 states/eV/atom. The symmetry is R-3m. Its final energy is -7.559 eV per atom. The calculation puts the formation energy at 0.421 eV/atom.

=====

Entry 5:
First-principles (PBE-GGA) data for a relaxed Nd3Si2N6 crystal, as listed in the Alexandria database.

The structure in CIF format:
```
data_Nd3Si2N6
_chemical_formula_sum 'Nd3 Si2 N6'
_cell_length_a 3.718
_cell_length_b 3.718
_cell_length_c 10.394
_cell_angle_alpha 100.30
_cell_angle_beta 100.30
_cell_angle_gamma 90.00
_space_group_name_H-M_alt 'P 1'
_space_group_IT_number 1
loop_
_space_group_symop_operation_xyz
'x,y,z'
loop_
_atom_site_label
_atom_site_fract_x
_atom_site_fract_y
_atom_site_fract_z
N1 0.914 0.414 0.828
N2 0.306 0.306 0.611
Nd1 0.183 0.183 0.366
N3 0.414 0.914 0.828
Si1 0.394 0.394 0.788
N4 0.086 0.586 0.172
N5 0.586 0.086 0.172
N6 0.694 0.694 0.389
Si2 0.606 0.606 0.212
Nd2 0.000 0.000 0.000
Nd3 0.817 0.817 0.634
```

The value obtained for the density of states at the Fermi level is 0.114 states/eV/atom. The symmetry is I4/mmm. Its final energy is -7.894 eV per atom. The value obtained for the formation energy (no corrections) is -1.066 eV/atom.

=====

Entry 6:
First-principles (PBE-GGA) data for a relaxed Be2NiN crystal, as listed in the Alexandria database.

The structure in CIF format:
```
data_Be2NiN
_chemical_formula_sum 'Be4 Ni2 N2'
_cell_length_a 4.852
_cell_length_b 4.852
_cell_length_c 4.783
_cell_angle_alpha 59.53
_cell_angle_beta 59.53
_cell_angle_gamma 90.00
_space_group_name_H-M_alt 'P 1'
_space_group_IT_number 1
loop_
_space_group_symop_operation_xyz
'x,y,z'
loop_
_atom_site_label
_atom_site_fract_x
_atom_site_fract_y
_atom_site_fract_z
Ni1 0.750 0.250 0.500
Be1 0.245 0.625 0.250
Be2 0.375 0.495 0.750
Be3 0.875 0.755 0.750
N1 0.500 0.500 0.000
Be4 0.505 0.125 0.250
Ni2 0.000 0.000 0.000
N2 0.250 0.750 0.500
```

The value obtained for the density of states at the Fermi level is 0.103 states/eV/atom. The symmetry is I-42d. Its final energy is -5.482 eV per atom. The value obtained for the formation energy (no corrections) is -0.092 eV/atom.

=====

Entry 7:
First-principles (PBE-GGA) data for a relaxed Pt3Au crystal, as listed in the Alexandria database.

The structure in CIF format:
```
data_Pt3Au
_chemical_formula_sum 'Pt3 Au1'
_cell_length_a 4.960
_cell_length_b 4.960
_cell_length_c 2.806
_cell_angle_alpha 90.00
_cell_angle_beta 90.00
_cell_angle_gamma 110.09
_space_group_name_H-M_alt 'P 1'
_space_group_IT_number 1
loop_
_space_group_symop_operation_xyz
'x,y,z'
loop_
_atom_site_label
_atom_site_fract_x
_atom_site_fract_y
_atom_site_fract_z
Pt1 0.000 0.500 0.500
Pt2 0.500 0.500 0.000
Au1 0.000 0.000 0.000
Pt3 0.500 0.000 0.500
```

The value obtained for the density of states at the Fermi level is 1.487 states/eV/atom. The symmetry is Cmmm. Its final energy is -5.313 eV per atom. The calculation puts the formation energy at 0.037 eV/atom.

=====

Entry 8:
First-principles (PBE-GGA) data for a relaxed Sc5As4H crystal, as listed in the Alexandria database.

The structure in CIF format:
```
data_Sc5As4H
_chemical_formula_sum 'Sc5 As4 H1'
_cell_length_a 5.420
_cell_length_b 6.625
_cell_length_c 6.625
_cell_angle_alpha 80.37
_cell_angle_beta 65.85
_cell_angle_gamma 65.85
_space_group_name_H-M_alt 'P 1'
_space_group_IT_number 1
loop_
_space_group_symop_operation_xyz
'x,y,z'
loop_
_atom_site_label
_atom_site_fract_x
_atom_site_fract_y
_atom_site_fract_z
H1 0.049 0.000 0.000
As1 0.205 0.196 0.398
Sc1 0.898 0.412 0.797
Sc2 0.446 0.000 0.000
As2 0.603 0.602 0.196
Sc3 0.310 0.797 0.588
As3 0.401 0.398 0.804
Sc4 0.106 0.588 0.203
As4 0.799 0.804 0.602
Sc5 0.695 0.203 0.412
```

The value obtained for the density of states at the Fermi level is 0.414 states/eV/atom. The symmetry is I4. Its final energy is -6.485 eV per atom.

=====

Copy entry 3 word for word.
First-principles (PBE-GGA) data for a relaxed TbTePd4 crystal, as listed in the Alexandria database.

The structure in CIF format:
```
data_TbTePd4
_chemical_formula_sum 'Tb1 Te1 Pd4'
_cell_length_a 5.434
_cell_length_b 5.434
_cell_length_c 5.434
_cell_angle_alpha 60.00
_cell_angle_beta 60.00
_cell_angle_gamma 60.00
_space_group_name_H-M_alt 'P 1'
_space_group_IT_number 1
loop_
_space_group_symop_operation_xyz
'x,y,z'
loop_
_atom_site_label
_atom_site_fract_x
_atom_site_fract_y
_atom_site_fract_z
Pd1 0.624 0.127 0.624
Tb1 0.250 0.250 0.250
Te1 0.000 0.000 0.000
Pd2 0.624 0.624 0.127
Pd3 0.127 0.624 0.624
Pd4 0.624 0.624 0.624
```

The value obtained for the density of states at the Fermi level is 1.018 states/eV/atom. The symmetry is F-43m. Its final energy is -5.290 eV per atom. The value obtained for the formation energy (no corrections) is -0.533 eV/atom.